[1]
Density functional theory data (PBE) for a geometry-optimized AcAlNiIr structure.

The structure in POSCAR format:
```
AcAlNiIr
1.0
-0.442 -1.502 3.988
-0.057 -2.701 -3.325
5.406 1.738 1.254
Ac Al Ni Ir
1 1 1 1
Cartesian
2.419 -0.706 2.304
5.264 0.923 0.931
0.078 -2.774 1.266
4.598 -1.327 0.010
```

Values from the calculation:
M_tot: 0.000 μB per formula unit
Energy relative to the elements: -621 meV/atom

[2]
Density functional theory data (PBE) for a geometry-optimized AcAlIrO6 structure.

The structure in POSCAR format:
```
AcAlIrO6
1.0
-0.123 -1.652 5.131
5.055 0.864 0.400
-3.346 3.742 1.124
Ac Al Ir O
1 1 1 6
Cartesian
-0.546 2.783 0.882
2.193 0.998 3.207
-0.062 -0.826 2.566
1.277 1.934 4.618
1.468 -0.692 3.777
3.760 0.761 4.300
0.694 0.888 2.004
3.389 0.288 1.875
2.570 2.807 2.666
```

Values from the calculation:
M_tot: 2.856 μB per formula unit
Formation energy (no corrections): -2101 meV/atom

Which of these has the lowest M_tot? AcAlNiIr